Entry 1:
Entry from the Alexandria database: a geometry-optimized RePb2 structure (PBE-GGA).

```
RePb2
1.0
4.787 0.000 0.000
0.000 4.787 0.000
0.000 0.000 3.311
Pb Re
2 1
Direct
0.000 0.500 0.500
0.500 0.000 0.500
0.000 0.000 0.000
```

Output
Space-group type: P4/mmm
Excess energy over the best structure of this formula in the dataset in eV/atom: 0.422
ΔH_f (0 K) in eV/f.u.: 2.948
DFT total energy in eV/atom: -5.64

***

Entry 2:
Entry from the Alexandria database: a geometry-optimized Ce3Ga2Co structure (PBE-GGA).

```
Ce3Ga2Co
1.0
7.703 0.758 0.540
1.289 5.814 -0.944
1.289 1.006 5.803
Ce Ga Co
6 4 2
Direct
0.250 0.455 0.545
0.750 0.545 0.455
0.972 0.922 0.744
0.528 0.256 0.078
0.472 0.744 0.922
0.028 0.078 0.256
0.620 0.091 0.553
0.120 0.553 0.091
0.880 0.447 0.909
0.380 0.909 0.447
0.750 0.852 0.148
0.250 0.148 0.852
```

Output
Space-group type: C2/c
ΔH_f (0 K) in eV/f.u.: -2.258
DFT total energy in eV/atom: -5.54

***

Entry 3:
Entry from the Alexandria database: a geometry-optimized LiNF3 structure (PBE-GGA).

```
LiNF3
1.0
3.793 0.000 0.000
0.000 3.793 0.000
0.000 0.000 3.793
N Li F
1 1 3
Direct
0.500 0.500 0.500
0.000 0.000 0.000
0.000 0.500 0.000
0.000 0.000 0.500
0.500 0.000 0.000
```

Output
Space-group type: Pm-3m
Excess energy over the best structure of this formula in the dataset in eV/atom: 0.476
ΔE_f (raw) in meV per atom: 20.0
DFT total energy in eV/atom: -3.15